(1)
UPPt2 | GGA-PBE | optimized geometry

a b c (Å): 9.621 9.621 9.621
angles (deg): 17.60 17.60 17.60
Positions (direct):
U1 0.000 0.000 0.000
P1 0.500 0.500 0.500
Pt1 0.100 0.100 0.100
Pt2 0.900 0.900 0.900

Results
The value obtained for the energy of formation from the pure elements is 0.1460 eV per atom. As for the symmetry: No. 166. The total magnetic moment comes out at 2.45 Bohr magnetons per cell. Its density is 15.40 g/cm³. The calculation puts the density of states at the Fermi level at 5.846 states/eV per cell.

---

(2)
UPPt | GGA-PBE | optimized geometry

a b c (Å): 7.388 7.388 4.595
angles (deg): 90.00 90.00 150.71
Positions (direct):
U1 0.172 0.828 0.750
U2 0.828 0.172 0.250
P1 0.000 0.000 0.000
P2 0.000 0.000 0.500
Pt1 0.363 0.637 0.750
Pt2 0.637 0.363 0.250

Results
The value obtained for the energy of formation from the pure elements is -0.2751 eV per atom. As for the symmetry: No. 63. The total magnetic moment comes out at 3.63 Bohr magnetons per cell. Its density is 12.56 g/cm³. The calculation puts the density of states at the Fermi level at 10.909 states/eV per cell.

---

(3)
U2P2Pt | GGA-PBE | optimized geometry

a b c (Å): 8.813 8.813 5.773
angles (deg): 90.00 90.00 154.28
Positions (direct):
U1 0.018 0.982 0.500
U2 0.202 0.798 0.157
U3 0.798 0.202 0.657
U4 0.982 0.018 0.000
P1 0.181 0.819 0.650
P2 0.414 0.586 0.709
P3 0.586 0.414 0.209
P4 0.819 0.181 0.150
Pt1 0.384 0.616 0.307
Pt2 0.616 0.384 0.807

Results
The value obtained for the energy of formation from the pure elements is -0.7799 eV per atom. As for the symmetry: No. 36. The total magnetic moment comes out at 9.16 Bohr magnetons per cell. Its density is 12.51 g/cm³. The calculation puts the density of states at the Fermi level at 19.692 states/eV per cell.